Compound: AlTc2W
Source: Alexandria via LeMat-Bulk
Functional: PBE
Structure: optimized geometry

* DOS at the Fermi energy: 9.17 states/eV/cell
* calculated formation energy: -0.0081 eV/atom

a = 2.8245 Å, b = 2.8245 Å, c = 26.2214 Å
α = 90.00°, β = 90.00°, γ = 120.00°
Fractional coordinates of all 12 atoms:
Al 0.0000 0.0000 0.0000
Al 0.3333 0.6667 0.6667
Al 0.6667 0.3333 0.3333
Tc 0.0000 0.0000 0.2508
Tc 0.0000 0.0000 0.7492
Tc 0.3333 0.6667 0.4159
Tc 0.3333 0.6667 0.9174
Tc 0.6667 0.3333 0.0826
Tc 0.6667 0.3333 0.5841
W 0.0000 0.0000 0.5000
W 0.3333 0.6667 0.1667
W 0.6667 0.3333 0.8333